## HfInP2S (GGA-PBE)

Data for an optimized crystal structure of HfInP2S.

Its symmetry is P4/mmm, No. 123. The calculation puts the uncorrected formation energy at 871 meV/atom. The value obtained for the calculated volume is 23.10 Å³/atom.

a = 4.860 Å, b = 4.860 Å, c = 4.889 Å
α = 90.00°, β = 90.00°, γ = 90.00°
Element x y z (fractional)
Hf (0.000, 0.000, 0.000)
In (0.500, 0.500, 0.500)
P (0.000, 0.500, 0.500)
P (0.500, 0.000, 0.500)
S (0.500, 0.500, 0.000)